# 1
Here is HfAuBr2N after structural relaxation from Alexandria. Energies are from GGA-PBE.

Cell: 5.298 5.298 5.375 Å, 90.00 90.00 90.00°
Atoms (fractional coordinates):
Hf (0.000, 0.000, 0.000)
Au (0.000, 0.000, 0.500)
Br (0.000, 0.500, 0.500)
Br (0.500, 0.000, 0.500)
N (0.500, 0.500, 0.000)

Calculated values
- formation energy from raw total energies (meV per atom) = 1483
- uncorrected energy (Ry/atom) = -0.25702
- SG = No. 123



# 2
Here is Cu2HgSb after structural relaxation from Alexandria. Energies are from GGA-PBE.

Cell: 3.359 3.359 6.490 Å, 90.00 90.00 90.16°
Atoms (fractional coordinates):
Cu (0.000, 0.000, 0.235)
Cu (0.000, 0.000, 0.765)
Hg (0.500, 0.500, 0.000)
Sb (0.500, 0.500, 0.500)

Calculated values
- formation energy from raw total energies (meV per atom) = 253
- uncorrected energy (Ry/atom) = -0.21323
- SG = No. 65



# 3
Here is BaCuAu after structural relaxation from Alexandria. Energies are from GGA-PBE.

Cell: 4.984 4.984 4.984 Å, 60.00 60.00 60.00°
Atoms (fractional coordinates):
Ba (0.000, 0.000, 0.000)
Cu (0.250, 0.250, 0.250)
Au (0.500, 0.500, 0.500)

Calculated values
- ΔE to the lowest computed polymorph (kJ/mol of atoms) = 23.55
- energy of formation from the pure elements (eV/atom) = -0.195
- uncorrected energy (Ry/atom) = -0.24209
- SG = No. 216



# 4
Here is Nb2As2Cl after structural relaxation from Alexandria. Energies are from GGA-PBE.

Cell: 4.835 4.835 4.396 Å, 90.00 90.00 90.00°
Atoms (fractional coordinates):
Nb (0.000, 0.000, 0.000)
Nb (0.500, 0.500, 0.000)
As (0.000, 0.500, 0.500)
As (0.500, 0.000, 0.500)
Cl (0.000, 0.000, 0.500)

Calculated values
- formation energy from raw total energies (meV per atom) = 1139
- uncorrected energy (Ry/atom) = -0.37620
- SG = No. 123



# 5
Here is ErH5Pd4 after structural relaxation from Alexandria. Energies are from GGA-PBE.

Cell: 5.499 7.985 5.044 Å, 90.00 90.00 90.00°
Atoms (fractional coordinates):
Er (0.250, 0.250, 0.157)
Er (0.750, 0.750, 0.843)
H (0.021, 0.576, 0.159)
H (0.021, 0.924, 0.159)
H (0.250, 0.750, 0.643)
H (0.479, 0.576, 0.159)
H (0.479, 0.924, 0.159)
H (0.521, 0.076, 0.841)
H (0.521, 0.424, 0.841)
H (0.750, 0.250, 0.357)
H (0.979, 0.076, 0.841)
H (0.979, 0.424, 0.841)
Pd (0.008, 0.750, 0.374)
Pd (0.250, 0.562, 0.870)
Pd (0.250, 0.938, 0.870)
Pd (0.492, 0.750, 0.374)
Pd (0.508, 0.250, 0.626)
Pd (0.750, 0.062, 0.130)
Pd (0.750, 0.438, 0.130)
Pd (0.992, 0.250, 0.626)

Calculated values
- uncorrected energy (Ry/atom) = -0.32819
- SG = No. 59



# 6
Here is Fe2AuCl after structural relaxation from Alexandria. Energies are from GGA-PBE.

Cell: 5.497 5.497 5.497 Å, 140.71 140.71 56.77°
Atoms (fractional coordinates):
Fe (0.000, 0.000, 0.000)
Fe (0.750, 0.250, 0.500)
Au (0.250, 0.750, 0.500)
Cl (0.500, 0.500, 0.000)

Calculated values
- ΔE to the lowest computed polymorph (kJ/mol of atoms) = 47.47
- formation energy from raw total energies (meV per atom) = 588
- uncorrected energy (Ry/atom) = -0.36196
- SG = No. 119



no.,V (Å³ per cell),N(E_F) (states/eV per cell)
1,150.89,2.86
2,73.23,1.11
3,87.57,1.23
4,102.76,5.13
5,221.50,4.57
6,66.06,5.13